No. 1
BaLuTlZn: relaxed, PBE.

**Formation enthalpy at 0 K**: -143 meV/atom
**M_tot**: 0.00 μB/f.u.

a b c (Å): 5.565 5.565 5.565
angles (deg): 60.00 60.00 60.00
Fractional coordinates of all 4 atoms:
Ba 0.000 0.000 0.000
Lu 0.500 0.500 0.500
Tl 0.750 0.750 0.750
Zn 0.250 0.250 0.250

No. 2
As2PdCSe: relaxed, PBE.

**E_form (uncorrected)**: 0.969 eV/atom
**Relative energy among the computed polymorphs**: 0 meV per atom
**M_tot**: 0.00 μB/f.u.

a b c (Å): 4.296 4.296 4.415
angles (deg): 90.00 90.00 90.00
Fractional coordinates of all 5 atoms:
As 0.000 0.500 0.000
As 0.500 0.000 0.000
Pd 0.000 0.000 0.500
C 0.500 0.500 0.000
Se 0.500 0.500 0.500

Number 1: VASP energy -10.7 eV per cell. Number 2: VASP energy -22.4 eV per cell.